No. 1
HgCO3: optimized geometry, PBE.

a b c (Å): 3.8596 6.5846 8.8147
angles (deg): 90.00 90.00 105.44
Element x y z (fractional)
C  0.0000  0.0000  0.0000
C  0.0000  0.0000  0.5000
O  0.7847  0.6574  0.2500
O  0.1233  0.8816  0.9327
O  0.8767  0.1184  0.0673
O  0.2153  0.3426  0.7500
O  0.8767  0.1184  0.4327
O  0.1233  0.8816  0.5673
Hg  0.7537  0.4278  0.7500
Hg  0.2463  0.5722  0.2500

Results
E	-56.44	eV for the cell shown
formation energy (no corrections)	-0.764	eV/atom

***

No. 2
Rb3Ac2ScO6: optimized geometry, PBE.

a b c (Å): 6.3863 6.3863 6.9222
angles (deg): 98.73 98.73 120.07
Element x y z (fractional)
O  0.2401  0.2401  0.8219
O  0.3573  0.0592  0.1782
O  0.0592  0.3573  0.1782
O  0.9408  0.6427  0.8218
O  0.7599  0.7599  0.1781
O  0.6427  0.9408  0.8218
Rb  0.5000  0.5000  0.5000
Rb  0.8411  0.1589  0.5000
Rb  0.1589  0.8411  0.5000
Ac  0.3330  0.6670  0.0000
Ac  0.6670  0.3330  0.0000
Sc  0.0000  0.0000  0.0000

Results
E	-77.45	eV for the cell shown
N(E_F)	0.0000	states/eV/atom
formation energy (no corrections)	-2.521	eV/atom

***

No. 3
La3CdO: optimized geometry, PBE.

a b c (Å): 11.5013 6.9852 3.9398
angles (deg): 73.63 80.13 96.02
Element x y z (fractional)
Cd  0.0111  0.4956  0.2152
Cd  0.6051  0.5059  0.4126
La  0.0954  0.0986  0.8715
La  0.2461  0.7080  0.4913
La  0.7643  0.2221  0.9752
La  0.8396  0.7780  0.6596
La  0.3844  0.2703  0.1407
La  0.5327  0.8833  0.7606
O  0.8893  0.9731  0.0373
O  0.2004  0.0395  0.3484

Results
E	-53.65	eV for the cell shown
distance to the lowest polymorph of the same formula	72	meV/atom
N(E_F)	0.8841	states/eV/atom
formation energy (no corrections)	-1.234	eV/atom

***

E of number 3 (La3CdO)? -53.65 eV for the cell shown